Computed, not measured: a relaxed structure of TbAlSiO5 at the GGA-PBE level of DFT.

a b c (Å): 5.4105 5.4105 6.7516
angles (deg): 103.04 103.04 106.13
Fractional positions:
1 Tb 0.1752 0.8248 0.7500
2 Tb 0.8248 0.1752 0.2500
3 Al 0.5000 0.5000 0.0000
4 Al 0.5000 0.5000 0.5000
5 Si 0.1771 0.8229 0.2500
6 Si 0.8229 0.1771 0.7500
7 O 0.1204 0.2423 0.9203
8 O 0.1816 0.6072 0.3880
9 O 0.2423 0.1204 0.4203
10 O 0.3928 0.8184 0.1120
11 O 0.4281 0.5719 0.7500
12 O 0.5719 0.4281 0.2500
13 O 0.6072 0.1816 0.8880
14 O 0.7577 0.8796 0.5797
15 O 0.8184 0.3928 0.6120
16 O 0.8796 0.7577 0.0797

Properties
* energy relative to the elements, uncorrected: -303 kJ per mole of atoms
* VASP energy: -63.67 eV/f.u.
* magnetization: 0.000 μB/atom
* crystal system: monoclinic